Entry 1:
DFT (PBE-GGA) results for an optimized crystal structure of YTmF6.

Values from the calculation:
* M_tot: 0.0 Bohr magnetons per cell
* energy: -6.904 eV/atom
* theoretical density: 4.02 g/cm³

Geometry as CIF:
```
data_YTmF6
_symmetry_space_group_name_H-M 'R -3'
_symmetry_Int_Tables_number 148
_symmetry_space_group_name_Hall '-R 3'
_cell_length_a 5.8657
_cell_length_b 5.8657
_cell_length_c 15.4515
_cell_angle_alpha 90.00
_cell_angle_beta 90.00
_cell_angle_gamma 120.00
loop_
_atom_site_label
_atom_site_type_symbol
_atom_site_fract_x
_atom_site_fract_y
_atom_site_fract_z
_atom_site_occupancy
Y1 Y 0.0000 0.0000 0.0000 1
Tm1 Tm 0.0000 0.0000 0.5000 1
F1 F 0.0037 0.4295 0.2490 1
```

Entry 2:
DFT (PBE-GGA) results for an optimized crystal structure of YTmF.

Values from the calculation:
* M_tot: 0.0 Bohr magnetons per cell
* energy: -5.807 eV/atom
* theoretical density: 7.05 g/cm³

Geometry as CIF:
```
data_YTmF
_symmetry_space_group_name_H-M 'P 3 m 1'
_symmetry_Int_Tables_number 156
_symmetry_space_group_name_Hall 'P 3 -2"'
_cell_length_a 3.6675
_cell_length_b 3.6675
_cell_length_c 5.5974
_cell_angle_alpha 90.00
_cell_angle_beta 90.00
_cell_angle_gamma 120.00
loop_
_atom_site_label
_atom_site_type_symbol
_atom_site_fract_x
_atom_site_fract_y
_atom_site_fract_z
_atom_site_occupancy
Y1 Y 0.0000 0.0000 0.0000 1
Tm1 Tm 0.3333 0.6667 0.5217 1
F1 F 0.6667 0.3333 0.2694 1
```

Entry 3:
DFT (PBE-GGA) results for an optimized crystal structure of Y3TmF.

Values from the calculation:
* M_tot: 0.0 Bohr magnetons per cell
* energy: -6.060 eV/atom
* theoretical density: 5.88 g/cm³

Geometry as CIF:
```
data_Y3TmF
_symmetry_space_group_name_H-M 'P m -3 m'
_symmetry_Int_Tables_number 221
_symmetry_space_group_name_Hall '-P 4 2 3'
_cell_length_a 5.0442
_cell_length_b 5.0442
_cell_length_c 5.0442
_cell_angle_alpha 90.00
_cell_angle_beta 90.00
_cell_angle_gamma 90.00
loop_
_atom_site_label
_atom_site_type_symbol
_atom_site_fract_x
_atom_site_fract_y
_atom_site_fract_z
_atom_site_occupancy
Y1 Y 0.0000 0.0000 0.5000 1
Tm1 Tm 0.5000 0.5000 0.5000 1
F1 F 0.0000 0.0000 0.0000 1
```

Entry 4:
DFT (PBE-GGA) results for an optimized crystal structure of YTmF5.

Values from the calculation:
* M_tot: 0.5 Bohr magnetons per cell
* energy: -6.736 eV/atom
* theoretical density: 4.84 g/cm³

Geometry as CIF:
```
data_YTmF5
_symmetry_space_group_name_H-M 'C 1 2/c 1'
_symmetry_Int_Tables_number 15
_symmetry_space_group_name_Hall '-C 2yc'
_cell_length_a 9.4686
_cell_length_b 7.3391
_cell_length_c 7.6129
_cell_angle_alpha 90.00
_cell_angle_beta 113.68
_cell_angle_gamma 90.00
loop_
_atom_site_label
_atom_site_type_symbol
_atom_site_fract_x
_atom_site_fract_y
_atom_site_fract_z
_atom_site_occupancy
Y1 Y 0.0000 0.0000 0.0000 1
Tm1 Tm 0.0000 0.4769 0.2500 1
F1 F 0.0000 0.1765 0.2500 1
F2 F 0.0012 0.3319 0.9715 1
F3 F 0.2461 0.4835 0.3727 1
```

Entry 5:
DFT (PBE-GGA) results for an optimized crystal structure of Tm2ZnF8.

Values from the calculation:
* M_tot: 0.0 Bohr magnetons per cell
* excess energy over the best structure of this formula in the dataset: 69 meV/atom
* energy: -5.861 eV/atom
* theoretical density: 6.03 g/cm³

Geometry as CIF:
```
data_Tm2ZnF8
_symmetry_space_group_name_H-M 'C 1 2/m 1'
_symmetry_Int_Tables_number 12
_symmetry_space_group_name_Hall '-C 2y'
_cell_length_a 15.9162
_cell_length_b 3.3257
_cell_length_c 5.7784
_cell_angle_alpha 90.00
_cell_angle_beta 92.45
_cell_angle_gamma 90.00
loop_
_atom_site_label
_atom_site_type_symbol
_atom_site_fract_x
_atom_site_fract_y
_atom_site_fract_z
_atom_site_occupancy
Tm1 Tm 0.1557 0.0000 0.3423 1
Zn1 Zn 0.0000 0.5000 0.0000 1
F1 F 0.0179 0.0000 0.2186 1
F2 F 0.1089 0.5000 0.5315 1
F3 F 0.1294 0.5000 0.0705 1
F4 F 0.2433 0.0000 0.6684 1
```

Entry 6:
DFT (PBE-GGA) results for an optimized crystal structure of TmZn2F8.

Values from the calculation:
* M_tot: 2.1 Bohr magnetons per cell
* energy: -4.683 eV/atom
* theoretical density: 4.92 g/cm³

Geometry as CIF:
```
data_TmZn2F8
_symmetry_space_group_name_H-M 'I 4 2 2'
_symmetry_Int_Tables_number 97
_symmetry_space_group_name_Hall 'I 4 2'
_cell_length_a 5.4370
_cell_length_b 5.4370
_cell_length_c 10.3082
_cell_angle_alpha 90.00
_cell_angle_beta 90.00
_cell_angle_gamma 90.00
loop_
_atom_site_label
_atom_site_type_symbol
_atom_site_fract_x
_atom_site_fract_y
_atom_site_fract_z
_atom_site_occupancy
Tm1 Tm 0.0000 0.0000 0.0000 1
Zn1 Zn 0.0000 0.5000 0.2500 1
F1 F 0.1637 0.2968 0.8759 1
```

Entry 7:
DFT (PBE-GGA) results for an optimized crystal structure of Tm2ZnF8.

Values from the calculation:
* M_tot: 0.0 Bohr magnetons per cell
* excess energy over the best structure of this formula in the dataset: 0 meV/atom
* energy: -5.929 eV/atom
* theoretical density: 6.20 g/cm³

Geometry as CIF:
```
data_Tm2ZnF8
_symmetry_space_group_name_H-M 'C 1 2/m 1'
_symmetry_Int_Tables_number 12
_symmetry_space_group_name_Hall '-C 2y'
_cell_length_a 9.2353
_cell_length_b 6.9356
_cell_length_c 4.8461
_cell_angle_alpha 90.00
_cell_angle_beta 106.53
_cell_angle_gamma 90.00
loop_
_atom_site_label
_atom_site_type_symbol
_atom_site_fract_x
_atom_site_fract_y
_atom_site_fract_z
_atom_site_occupancy
Tm1 Tm 0.1777 0.0000 0.4112 1
Zn1 Zn 0.0000 0.5000 0.0000 1
F1 F 0.0705 0.0000 0.7707 1
F2 F 0.1418 0.5000 0.7722 1
F3 F 0.1500 0.3054 0.2777 1
```

Entry 8:
DFT (PBE-GGA) results for an optimized crystal structure of TmZn2F6.

Values from the calculation:
* M_tot: 0.0 Bohr magnetons per cell
* energy: -4.815 eV/atom
* theoretical density: 5.42 g/cm³

Geometry as CIF:
```
data_TmZn2F6
_symmetry_space_group_name_H-M 'C 1 2/m 1'
_symmetry_Int_Tables_number 12
_symmetry_space_group_name_Hall '-C 2y'
_cell_length_a 10.5886
_cell_length_b 3.8354
_cell_length_c 7.1615
_cell_angle_alpha 90.00
_cell_angle_beta 119.41
_cell_angle_gamma 90.00
loop_
_atom_site_label
_atom_site_type_symbol
_atom_site_fract_x
_atom_site_fract_y
_atom_site_fract_z
_atom_site_occupancy
Tm1 Tm 0.0000 0.0000 0.0000 1
Zn1 Zn 0.1792 0.0000 0.6198 1
F1 F 0.0185 0.0000 0.7029 1
F2 F 0.1247 0.5000 0.0342 1
F3 F 0.2374 0.0000 0.3042 1
```

no.,raw formation energy (eV per atom)
1,-4.13
2,-1.54
3,-0.91
4,-3.84
5,-3.57
6,-2.68
7,-3.64
8,-2.79